First-principles (PBE-GGA) data for a geometry-optimized Er6PSe5 structure, as listed in Alexandria via LeMat-Bulk.

Results
The electronic total energy is -5.9212 eV/atom. The calculation puts the magnetization at 0.0 μB/cell. The calculation puts the formation energy without anion corrections at -167.6 kJ per mole of atoms.

a = 6.991 Å, b = 6.991 Å, c = 6.984 Å
α = 99.54°, β = 99.54°, γ = 120.21°
Fractional coordinates of all 12 atoms:
Er 0.079 0.392 0.735
Er 0.234 0.234 0.263
Er 0.392 0.079 0.735
Er 0.608 0.921 0.265
Er 0.766 0.766 0.737
Er 0.921 0.608 0.265
P 0.000 0.000 0.500
Se 0.172 0.828 0.000
Se 0.334 0.666 0.500
Se 0.500 0.500 0.000
Se 0.666 0.334 0.500
Se 0.828 0.172 0.000


First-principles (PBE-GGA) data for a geometry-optimized Er2PSe structure, as listed in Alexandria via LeMat-Bulk.

Results
The electronic total energy is -6.2641 eV/atom. The calculation puts the magnetization at 0.0 μB/cell. For the energy above the most stable polymorph in this dataset, the calculation gives 0.000 eV per atom. The calculation puts the formation energy without anion corrections at -169.7 kJ per mole of atoms.

a = 7.019 Å, b = 7.019 Å, c = 7.019 Å
α = 32.96°, β = 32.96°, γ = 32.96°
Fractional coordinates of all 4 atoms:
Er 0.242 0.242 0.242
Er 0.758 0.758 0.758
P 0.500 0.500 0.500
Se 0.000 0.000 0.000


First-principles (PBE-GGA) data for a geometry-optimized Er4P3Se structure, as listed in Alexandria via LeMat-Bulk.

Results
The electronic total energy is -6.4425 eV/atom. The calculation puts the magnetization at 0.0 μB/cell. For the energy above the most stable polymorph in this dataset, the calculation gives 0.000 eV per atom. The calculation puts the formation energy without anion corrections at -163.7 kJ per mole of atoms.

a = 6.902 Å, b = 6.902 Å, c = 6.902 Å
α = 131.83°, β = 131.83°, γ = 70.50°
Fractional coordinates of all 8 atoms:
Er 0.000 0.500 0.500
Er 0.242 0.242 0.000
Er 0.500 0.000 0.500
Er 0.758 0.758 0.000
P 0.000 0.000 0.000
P 0.250 0.750 0.500
P 0.750 0.250 0.500
Se 0.500 0.500 0.000


Please write out number 3 again, unchanged.
First-principles (PBE-GGA) data for a geometry-optimized Er4P3Se structure, as listed in Alexandria via LeMat-Bulk.

Results
The electronic total energy is -6.4425 eV/atom. The calculation puts the magnetization at 0.0 μB/cell. For the energy above the most stable polymorph in this dataset, the calculation gives 0.000 eV per atom. The calculation puts the formation energy without anion corrections at -163.7 kJ per mole of atoms.

a = 6.902 Å, b = 6.902 Å, c = 6.902 Å
α = 131.83°, β = 131.83°, γ = 70.50°
Fractional coordinates of all 8 atoms:
Er 0.000 0.500 0.500
Er 0.242 0.242 0.000
Er 0.500 0.000 0.500
Er 0.758 0.758 0.000
P 0.000 0.000 0.000
P 0.250 0.750 0.500
P 0.750 0.250 0.500
Se 0.500 0.500 0.000